1.
Crystalline Ba7H12Cl2 at its relaxed geometry, computed with GGA-PBE.

Results
crystal system: hexagonal

Cell lengths 4.237, 10.695, 10.695 Å; angles 120.00, 90.00, 90.00 degrees
Element x y z (fractional)
1 Ba 0.000 0.333 0.667
2 Ba 0.000 0.030 0.776
3 Ba 0.000 0.746 0.970
4 Ba 0.000 0.224 0.254
5 Ba 0.500 0.617 0.548
6 Ba 0.500 0.931 0.383
7 Ba 0.500 0.452 0.069
8 H 0.500 0.895 0.617
9 H 0.500 0.723 0.105
10 H 0.500 0.383 0.277
11 H 0.500 0.227 0.777
12 H 0.500 0.550 0.773
13 H 0.500 0.223 0.450
14 H 0.000 0.057 0.546
15 H 0.000 0.490 0.943
16 H 0.000 0.454 0.510
17 H 0.000 0.759 0.726
18 H 0.000 0.967 0.241
19 H 0.000 0.274 0.033
20 Cl 0.500 0.000 0.000
21 Cl 0.000 0.667 0.333

***

2.
Crystalline SiAgHg2 at its relaxed geometry, computed with GGA-PBE.

Results
crystal system: orthorhombic
ΔE_f (raw): 0.305 eV per atom

Cell lengths 3.000, 4.201, 6.994 Å; angles 90.00, 90.00, 90.00 degrees
Element x y z (fractional)
1 Ag 0.500 0.500 0.688
2 Hg 0.000 0.000 0.980
3 Hg 0.500 0.500 0.253
4 Si 0.000 0.000 0.579

***

3.
Crystalline Hg2SbRu at its relaxed geometry, computed with GGA-PBE.

Results
crystal system: cubic
ΔE_f (raw): 0.567 eV per atom

Cell lengths 4.888, 4.888, 4.888 Å; angles 60.00, 60.00, 60.00 degrees
Element x y z (fractional)
1 Hg 0.000 0.000 0.000
2 Hg 0.250 0.250 0.250
3 Ru 0.500 0.500 0.500
4 Sb 0.750 0.750 0.750

***

4.
Crystalline BeWSe at its relaxed geometry, computed with GGA-PBE.

Results
crystal system: trigonal
distance to the lowest polymorph of the same formula: 91 meV/atom
ΔE_f (raw): 0.296 eV per atom

Cell lengths 3.034, 3.034, 5.782 Å; angles 90.00, 90.00, 120.00 degrees
Element x y z (fractional)
1 Be 0.000 0.000 0.986
2 Se 0.667 0.333 0.348
3 W 0.333 0.667 0.666

***

These records have total energy values of -3.557; -1.915; -2.933; -6.425 eV per atom, in the order they appear.